{"formula": "Na2Tl4PdPt", "functional": "PBE", "state": "optimized geometry", "lattice_angstrom": [[4.320, 0.000, 0.000], [0.000, 8.230, 0.000], [-2.142, 0.000, 5.519]], "species": ["Na", "Na", "Tl", "Tl", "Tl", "Tl", "Pd", "Pt"], "frac_coords": [[0.000, 0.000, 0.000], [0.134, 0.500, 0.265], [0.426, 0.296, 0.853], [0.426, 0.704, 0.853], [0.708, 0.205, 0.413], [0.708, 0.795, 0.413], [0.850, 0.500, 0.700], [0.284, 0.000, 0.566]], "m_tot_mub_per_cell": 0.007, "final_energy_ev_per_fu": -24.8}